Density functional theory data (PBE) for a geometry-optimized Rb3NdTe2O9 structure.

Structure (POSCAR):
```
Rb3NdTe2O9
1.0
5.9843 0.0000 0.0000
-2.9921 5.1825 0.0000
0.0000 0.0000 7.3852
Rb Nd Te O
3 1 2 9
Direct
0.0000 0.0000 0.0000
0.3333 0.6667 0.6691
0.6667 0.3333 0.3309
0.0000 0.0000 0.5000
0.3333 0.6667 0.1644
0.6667 0.3333 0.8356
0.0000 0.5000 0.0000
0.1800 0.3601 0.3080
0.1800 0.8200 0.3080
0.3601 0.1800 0.6920
0.5000 0.0000 0.0000
0.5000 0.5000 0.0000
0.6399 0.8200 0.3080
0.8200 0.1800 0.6920
0.8200 0.6399 0.6920
```

total energy	-5.51	eV per atom
SG	P-3m1, No. 164
M_tot	0.00	μB/f.u.
DOS at the Fermi energy	5.9	states/eV/cell
energy relative to the elements, uncorrected	-154.60	kJ per mole of atoms

***

Density functional theory data (PBE) for a geometry-optimized Rb2NdTeO6 structure.

Structure (POSCAR):
```
Rb2NdTeO6
1.0
0.0000 4.3277 4.3277
4.3277 0.0000 4.3277
4.3277 4.3277 0.0000
Rb Nd Te O
2 1 1 6
Direct
0.2500 0.2500 0.2500
0.7500 0.7500 0.7500
0.0000 0.0000 0.0000
0.5000 0.5000 0.5000
0.2739 0.2739 0.7261
0.2739 0.7261 0.2739
0.2739 0.7261 0.7261
0.7261 0.2739 0.2739
0.7261 0.2739 0.7261
0.7261 0.7261 0.2739
```

total energy	-5.76	eV per atom
SG	Fm-3m, No. 225
M_tot	1.06	μB/f.u.
DOS at the Fermi energy	6.1	states/eV/cell
energy relative to the elements, uncorrected	-173.36	kJ per mole of atoms

***

Density functional theory data (PBE) for a geometry-optimized Rb4Nd3TiO8 structure.

Structure (POSCAR):
```
Rb4Nd3TiO8
1.0
3.5537 2.0517 6.5563
-3.5537 2.0517 6.5563
0.0000 -4.1034 6.5563
Rb Nd Ti O
4 3 1 8
Direct
0.0000 0.0000 0.0000
0.0000 0.5000 0.5000
0.5000 0.0000 0.5000
0.5000 0.5000 0.0000
0.0000 0.0000 0.5000
0.0000 0.5000 0.0000
0.5000 0.0000 0.0000
0.5000 0.5000 0.5000
0.2286 0.2286 0.2286
0.2515 0.7104 0.7104
0.2896 0.2896 0.7485
0.2896 0.7485 0.2896
0.7104 0.2515 0.7104
0.7104 0.7104 0.2515
0.7485 0.2896 0.2896
0.7714 0.7714 0.7714
```

total energy	-6.51	eV per atom
SG	R-3m, No. 166
M_tot	0.97	μB/f.u.
DOS at the Fermi energy	4.1	states/eV/cell
energy relative to the elements, uncorrected	-231.25	kJ per mole of atoms

***

Density functional theory data (PBE) for a geometry-optimized Rb2NdTi2O7 structure.

Structure (POSCAR):
```
Rb2NdTi2O7
1.0
-1.9711 1.9711 11.3213
1.9711 -1.9711 11.3213
1.9711 1.9711 -11.3213
Rb Nd Ti O
2 1 2 7
Direct
0.1901 0.1901 0.0000
0.8099 0.8099 0.0000
0.0000 0.0000 0.0000
0.4075 0.4075 0.0000
0.5925 0.5925 0.0000
0.0768 0.5768 0.5000
0.3286 0.3286 0.0000
0.4232 0.9232 0.5000
0.5000 0.5000 0.0000
0.5768 0.0768 0.5000
0.6714 0.6714 0.0000
0.9232 0.4232 0.5000
```

total energy	-7.40	eV per atom
SG	I4/mmm, No. 139
M_tot	0.81	μB/f.u.
DOS at the Fermi energy	6.5	states/eV/cell
energy relative to the elements, uncorrected	-253.65	kJ per mole of atoms

***

Density functional theory data (PBE) for a geometry-optimized RbNd2TlO5 structure.

Structure (POSCAR):
```
RbNd2TlO5
1.0
-3.4627 3.4627 6.2943
3.4627 -3.4627 6.2943
3.4627 3.4627 -6.2943
Rb Nd Tl O
2 4 2 10
Direct
0.2500 0.2500 0.0000
0.7500 0.7500 0.0000
0.1779 0.6779 0.8558
0.3221 0.1779 0.5000
0.6779 0.8221 0.5000
0.8221 0.3221 0.1442
0.2500 0.7500 0.5000
0.7500 0.2500 0.5000
0.0000 0.0000 0.0000
0.0223 0.2411 0.5000
0.2411 0.7411 0.2189
0.2589 0.4777 0.5000
0.4777 0.9777 0.2189
0.5000 0.5000 0.0000
0.5223 0.0223 0.7811
0.7411 0.5223 0.5000
0.7589 0.2589 0.7811
0.9777 0.7589 0.5000
```

total energy	-6.37	eV per atom
SG	I4/mcm, No. 140
M_tot	0.00	μB/f.u.
energy relative to the elements, uncorrected	-210.96	kJ per mole of atoms

***

Density functional theory data (PBE) for a geometry-optimized Rb2NdTlO4 structure.

Structure (POSCAR):
```
Rb2NdTlO4
1.0
6.2340 0.0000 0.0000
0.0000 3.5999 0.0000
-2.2058 0.0000 6.6041
Rb Nd Tl O
2 1 1 4
Direct
0.0000 0.0000 0.0000
0.5000 0.5000 0.0000
0.0000 0.5000 0.5000
0.5000 0.0000 0.5000
0.2212 0.0000 0.6904
0.2780 0.5000 0.3159
0.7220 0.5000 0.6841
0.7788 0.0000 0.3096
```

total energy	-5.35	eV per atom
SG	P2/m, No. 10
M_tot	0.10	μB/f.u.
energy relative to the elements, uncorrected	-167.27	kJ per mole of atoms

***

Density functional theory data (PBE) for a geometry-optimized Rb3Nd2TmO6 structure.

Structure (POSCAR):
```
Rb3Nd2TmO6
1.0
3.1155 -5.3975 0.0000
3.1155 5.3975 0.0000
-2.0737 0.0000 6.5893
Rb Nd Tm O
3 2 1 6
Direct
0.0000 0.0000 0.0000
0.3351 0.6649 0.0000
0.6649 0.3351 0.0000
0.1667 0.8333 0.5000
0.8333 0.1667 0.5000
0.5000 0.5000 0.5000
0.1215 0.4407 0.3221
0.2400 0.2400 0.6780
0.4407 0.1215 0.3221
0.5593 0.8785 0.6779
0.7600 0.7600 0.3220
0.8785 0.5593 0.6779
```

total energy	-6.50	eV per atom
SG	C2/m, No. 12
M_tot	0.00	μB/f.u.
DOS at the Fermi energy	0.0	states/eV/cell
energy relative to the elements, uncorrected	-251.79	kJ per mole of atoms

***

Density functional theory data (PBE) for a geometry-optimized Rb4Nd3TmO8 structure.

Structure (POSCAR):
```
Rb4Nd3TmO8
1.0
3.6169 2.0882 6.5974
-3.6169 2.0882 6.5974
0.0000 -4.1764 6.5974
Rb Nd Tm O
4 3 1 8
Direct
0.0000 0.0000 0.0000
0.0000 0.5000 0.5000
0.5000 0.0000 0.5000
0.5000 0.5000 0.0000
0.0000 0.0000 0.5000
0.0000 0.5000 0.0000
0.5000 0.0000 0.0000
0.5000 0.5000 0.5000
0.2271 0.2271 0.2271
0.2383 0.7197 0.7197
0.2803 0.2803 0.7617
0.2803 0.7617 0.2803
0.7198 0.2383 0.7198
0.7198 0.7197 0.2383
0.7617 0.2803 0.2802
0.7729 0.7729 0.7729
```

total energy	-6.49	eV per atom
SG	R-3m, No. 166
M_tot	0.00	μB/f.u.
DOS at the Fermi energy	0.0	states/eV/cell
energy relative to the elements, uncorrected	-249.97	kJ per mole of atoms

***

Density functional theory data (PBE) for a geometry-optimized Rb2NdUO6 structure.

Structure (POSCAR):
```
Rb2NdUO6
1.0
0.0000 4.4544 4.4544
4.4544 0.0000 4.4544
4.4544 4.4544 0.0000
Rb Nd U O
2 1 1 6
Direct
0.2500 0.2500 0.2500
0.7500 0.7500 0.7500
0.0000 0.0000 0.0000
0.5000 0.5000 0.5000
0.2666 0.2666 0.7334
0.2666 0.7334 0.2666
0.2666 0.7334 0.7334
0.7334 0.2666 0.2666
0.7334 0.2666 0.7334
0.7334 0.7334 0.2666
```

total energy	-7.39	eV per atom
SG	Fm-3m, No. 225
M_tot	0.90	μB/f.u.
DOS at the Fermi energy	10.2	states/eV/cell
energy relative to the elements, uncorrected	-252.41	kJ per mole of atoms

***

Density functional theory data (PBE) for a geometry-optimized Rb3Nd3UO8 structure.

Structure (POSCAR):
```
Rb3Nd3UO8
1.0
3.6259 2.0934 6.7044
-3.6259 2.0934 6.7044
0.0000 -4.1868 6.7044
Rb Nd U O
3 3 1 8
Direct
0.0000 0.5000 0.5000
0.5000 0.0000 0.5000
0.5000 0.5000 0.0000
0.0000 0.0000 0.5000
0.0000 0.5000 0.0000
0.5000 0.0000 0.0000
0.5000 0.5000 0.5000
0.2257 0.2257 0.2257
0.2467 0.7106 0.7106
0.2894 0.2894 0.7533
0.2894 0.7533 0.2894
0.7106 0.2467 0.7106
0.7106 0.7106 0.2467
0.7533 0.2894 0.2894
0.7743 0.7743 0.7743
```

total energy	-7.23	eV per atom
SG	R-3m, No. 166
M_tot	2.01	μB/f.u.
DOS at the Fermi energy	7.3	states/eV/cell
energy relative to the elements, uncorrected	-259.63	kJ per mole of atoms

***

What is the total energy in the fifth record?
-6.37 eV per atom

***

energy relative to the elements, uncorrected of number 10 (Rb3Nd3UO8)?
-259.63 kJ per mole of atoms